12
Lattice="5.110 -0.146 -0.007 -0.138 5.109 0.000 -0.003 0.013 6.668" Properties=species:S:1:pos:R:3 comment="Na2HfCoF8 | Alexandria via LeMat-Bulk | GGA+U | optimized geometry" vol_a3_per_cell=173.9 magnetic_moment_mub_per_cell=3.0 final_energy_ha_per_atom=-0.21243 pbc="T T T"
F 3.554 3.557 -0.005
F 1.349 1.349 3.332
F 3.619 3.627 3.329
F 1.415 1.419 6.666
F 0.799 4.170 5.148
F 4.166 0.814 5.139
F 0.802 4.162 1.522
F 4.169 0.806 1.513
Hf 0.000 0.000 0.000
Na 2.487 2.482 1.752
Na 2.481 2.494 4.909
Co -0.002 0.007 3.334